The following is a DFT calculation (GGA-PBE) of an optimized crystal structure of YBe4PdPt2.

```
8
Lattice="-3.554 -0.660 -1.576 -0.529 -3.024 -2.475 -3.245 -6.017 4.904" Properties=species:S:1:pos:R:3 pbc="T T T"
Be -3.139 -3.517 -1.315
Be -4.817 -5.549 -1.616
Be -4.189 -6.184 2.168
Be -2.512 -4.152 2.469
Pd -3.664 -4.850 0.427
Pt -1.888 -2.567 0.398
Pt -5.440 -7.134 0.455
Y 0.000 0.000 0.000
```

Summary:
space group: R-3m (166)

=====

The following is a DFT calculation (GGA-PBE) of an optimized crystal structure of Ac2YMg3Cd12.

```
18
Lattice="12.353 3.190 2.263 8.875 9.166 2.263 8.875 5.166 7.903" Properties=species:S:1:pos:R:3 pbc="T T T"
Cd 22.451 13.068 7.250
Cd 16.087 11.049 6.051
Cd 16.087 9.364 8.428
Cd 22.451 11.163 9.936
Cd 7.652 6.359 2.492
Cd 14.016 6.473 6.377
Cd 7.652 4.454 5.178
Cd 14.016 8.158 4.001
Cd 9.308 3.513 2.492
Cd 20.794 14.009 9.936
Cd 12.550 8.991 6.377
Cd 17.552 8.531 6.051
Y 0.000 0.000 0.000
Mg 4.437 4.583 1.131
Mg 6.177 1.595 1.131
Mg 4.437 2.583 3.951
Ac 19.295 11.231 7.966
Ac 10.808 6.291 4.462
```

Summary:
space group: R-3m (166)

=====

The following is a DFT calculation (GGA-PBE) of an optimized crystal structure of Nd3Ho2.

```
5
Lattice="-3.186 -3.651 1.634 2.840 -5.330 1.629 -1.054 0.111 6.193" Properties=species:S:1:pos:R:3 pbc="T T T"
Ho 0.974 -6.231 3.977
Ho -2.374 -2.638 5.478
Nd -1.807 -4.499 2.427
Nd 0.893 -2.610 3.911
Nd 0.407 -4.371 7.028
```

Summary:
space group: C2/m (12)

=====

The following is a DFT calculation (GGA-PBE) of an optimized crystal structure of LiPuC.

```
6
Lattice="4.169 0.000 -0.208 0.000 3.344 0.000 -0.939 -1.672 8.164" Properties=species:S:1:pos:R:3 pbc="T T T"
Pu 2.903 0.000 5.171
Pu 0.770 1.672 3.474
C 3.095 0.000 7.769
C 0.578 1.672 0.877
Li 0.965 0.000 7.289
Li 2.708 1.672 1.357
```

Summary:
E above lowest polymorph: 1.13 eV per formula unit
space group: C2/m (12)

=====

no.,total magnetization (Bohr magnetons per cell),energy of formation from the pure elements (meV/atom),Fermi-level density of states (states/eV/f.u.)
1,0.00,-675,2.6
2,0.00,-37,13.8
3,0.00,18,7.2
4,11.98,524,7.2